# 1
CeSmThSc | GGA-PBE | optimized geometry

abc: 7.821 7.821 7.821
angles: 90.00 90.00 90.00
Space group F-43m (No. 216)
Asymmetric unit:
Ce1 0.000 0.000 0.000 (multiplicity 4)
Sm1 0.250 0.250 0.750 (multiplicity 4)
Th1 0.250 0.250 0.250 (multiplicity 4)
Sc1 0.000 0.000 0.500 (multiplicity 4)

E above lowest polymorph   0.530 eV/f.u.

***

# 2
KEuInPb | GGA-PBE | optimized geometry

abc: 8.124 8.124 8.124
angles: 90.00 90.00 90.00
Space group F-43m (No. 216)
Asymmetric unit:
K1 0.000 0.000 0.000 (multiplicity 4)
Eu1 0.000 0.000 0.500 (multiplicity 4)
In1 0.250 0.250 0.250 (multiplicity 4)
Pb1 0.250 0.250 0.750 (multiplicity 4)

Energy   -4.6873 eV/atom

***

# 3
NdYEr2Te6 | GGA-PBE | optimized geometry

abc: 7.7386 7.7386 21.0890
angles: 90.00 90.00 120.00
Space group R3 (No. 146, hexagonal axes)
Asymmetric unit:
Nd1 0.0000 0.0000 0.0000 (multiplicity 3)
Y1 0.0000 0.0000 0.4971 (multiplicity 3)
Er1 0.0000 0.0000 0.3102 (multiplicity 3)
Er2 0.0000 0.0000 0.8122 (multiplicity 3)
Te1 0.0076 0.3197 0.9014 (multiplicity 9)
Te2 0.0159 0.6483 0.0692 (multiplicity 9)

Raw formation energy   -1.3614 eV per atom

***

# 4
SrReRh2 | GGA-PBE | optimized geometry

abc: 4.031 4.031 8.801
angles: 90.00 90.00 90.00
Space group I-4m2 (No. 119)
Asymmetric unit:
Sr1 0.000 0.000 0.000 (multiplicity 2)
Re1 0.000 0.500 0.750 (multiplicity 2)
Rh1 0.000 0.000 0.500 (multiplicity 2)
Rh2 0.000 0.500 0.250 (multiplicity 2)

E above lowest polymorph   2.295 eV/f.u.

***

# 5
MgGaIO2 | GGA-PBE | optimized geometry

abc: 4.035 4.035 6.029
angles: 90.00 90.00 90.00
Space group P4/mmm (No. 123)
Asymmetric unit:
Mg1 0.000 0.000 0.000 (multiplicity 1)
Ga1 0.500 0.500 0.500 (multiplicity 1)
I1 0.000 0.000 0.500 (multiplicity 1)
O1 0.000 0.500 0.000 (multiplicity 2)

Raw formation energy   -0.4589 eV per atom
E above lowest polymorph   0.853 eV/f.u.

***

# 6
VBiI2 | GGA-PBE | optimized geometry

abc: 7.719 7.719 7.719
angles: 90.00 90.00 90.00
Space group Fm-3m (No. 225)
Asymmetric unit:
V1 0.000 0.000 0.000 (multiplicity 4)
Bi1 0.000 0.000 0.500 (multiplicity 4)
I1 0.250 0.250 0.250 (multiplicity 8)

Raw formation energy   0.5995 eV per atom
E above lowest polymorph   2.390 eV/f.u.

***

# 7
Dy4HoEr5 | GGA-PBE | optimized geometry

abc: 3.524 6.697 13.760
angles: 97.62 90.59 104.92
Space group P-1 (No. 2)
Asymmetric unit:
Dy1 0.133 0.208 0.307 (multiplicity 2)
Dy2 0.167 0.324 0.712 (multiplicity 2)
Ho1 0.000 0.500 0.500 (multiplicity 1)
Er1 0.190 0.376 0.084 (multiplicity 2)
Er2 0.468 0.920 0.114 (multiplicity 2)
Er3 0.500 0.000 0.500 (multiplicity 1)

E above lowest polymorph   0.000 eV/f.u.

***

# 8
Fe2NiIr2 | GGA-PBE | optimized geometry

abc: 7.027 7.027 2.672
angles: 90.00 90.00 90.00
Space group P4/mbm (No. 127)
Asymmetric unit:
Fe1 0.118 0.382 0.000 (multiplicity 4)
Ni1 0.000 0.000 0.000 (multiplicity 2)
Ir1 0.176 0.676 0.500 (multiplicity 4)

E above lowest polymorph   0.000 eV/f.u.

***

# 9
Sm2Tm8Mg | GGA-PBE | optimized geometry

abc: 16.174 6.520 6.584
angles: 90.00 101.78 90.00
Space group C2/m (No. 12)
Asymmetric unit:
Sm1 0.187 0.000 0.296 (multiplicity 4)
Tm1 0.081 0.260 0.889 (multiplicity 8)
Tm2 0.093 0.500 0.415 (multiplicity 4)
Tm3 0.246 0.000 0.816 (multiplicity 4)
Mg1 0.000 0.000 0.500 (multiplicity 2)

E above lowest polymorph   0.430 eV/f.u.

***

# 10
Tb5YEr8 | GGA-PBE | optimized geometry

abc: 9.505 9.505 10.013
angles: 90.00 90.00 90.00
Space group I-4 (No. 82)
Asymmetric unit:
Tb1 0.000 0.000 0.000 (multiplicity 2)
Tb2 0.112 0.212 0.577 (multiplicity 8)
Y1 0.000 0.500 0.250 (multiplicity 2)
Er1 0.071 0.324 0.905 (multiplicity 8)
Er2 0.089 0.172 0.248 (multiplicity 8)

Energy   -4.4732 eV/atom

***

# 11
CdHgTe2 | GGA-PBE | optimized geometry

abc: 4.015 4.015 7.383
angles: 90.00 90.00 90.00
Space group P4/mmm (No. 123)
Asymmetric unit:
Cd1 0.000 0.000 0.000 (multiplicity 1)
Hg1 0.000 0.000 0.500 (multiplicity 1)
Te1 0.500 0.500 0.200 (multiplicity 2)

Raw formation energy   0.0909 eV per atom
E above lowest polymorph   1.612 eV/f.u.

***

# 12
Tm3Tl2Au | GGA-PBE | optimized geometry

abc: 3.553 3.553 11.959
angles: 90.00 90.00 90.00
Space group P4/mmm (No. 123)
Asymmetric unit:
Tm1 0.000 0.000 0.000 (multiplicity 1)
Tm2 0.000 0.000 0.353 (multiplicity 2)
Tl1 0.500 0.500 0.176 (multiplicity 2)
Au1 0.500 0.500 0.500 (multiplicity 1)

E above lowest polymorph   0.000 eV/f.u.